No. 1
# BaZnCd3

A geometry-optimized BaZnCd3 structure (PBE, the Alexandria database).

abc: 5.2661 5.2661 5.2661
angles: 90.00 90.00 90.00
Fractional coordinates of all 5 atoms:
1 Zn 0.0000 0.0000 0.0000
2 Ba 0.5000 0.5000 0.5000
3 Cd 0.0000 0.5000 0.0000
4 Cd 0.0000 0.0000 0.5000
5 Cd 0.5000 0.0000 0.0000

Formation enthalpy at 0 K   -98 meV/atom

No. 2
# Ba2ZnCd

A geometry-optimized Ba2ZnCd structure (PBE, the Alexandria database).

abc: 5.9276 4.1985 5.9272
angles: 90.00 90.00 90.00
Fractional coordinates of all 4 atoms:
1 Zn 0.5000 0.6251 0.8757
2 Ba 0.0000 0.1250 0.8746
3 Ba 0.5000 0.1249 0.3754
4 Cd 0.0000 0.6250 0.3742

Formation enthalpy at 0 K   -232 meV/atom

No. 3
# BaZn2Cd2

A geometry-optimized BaZn2Cd2 structure (PBE, the Alexandria database).

abc: 8.3030 8.3030 3.8376
angles: 90.00 90.00 90.00
Fractional coordinates of all 10 atoms:
1 Zn 0.3870 0.8870 0.0000
2 Zn 0.8870 0.6130 0.0000
3 Zn 0.6130 0.1130 0.0000
4 Zn 0.1130 0.3870 0.0000
5 Ba 0.0000 0.0000 0.0000
6 Ba 0.5000 0.5000 0.0000
7 Cd 0.1689 0.6689 0.5000
8 Cd 0.6689 0.8311 0.5000
9 Cd 0.8311 0.3311 0.5000
10 Cd 0.3311 0.1689 0.5000

Formation enthalpy at 0 K   -24 meV/atom

No. 4
# Ba2Zn2Cd15

A geometry-optimized Ba2Zn2Cd15 structure (PBE, the Alexandria database).

abc: 7.8145 7.8145 7.8145
angles: 82.88 82.88 82.88
Fractional coordinates of all 19 atoms:
1 Ba 0.3329 0.3329 0.3329
2 Ba 0.6671 0.6671 0.6671
3 Zn 0.0909 0.0909 0.0909
4 Zn 0.9091 0.9091 0.9091
5 Cd 0.5000 0.0000 0.0000
6 Cd 0.0000 0.0000 0.5000
7 Cd 0.0000 0.5000 0.0000
8 Cd 0.0000 0.7075 0.2925
9 Cd 0.7075 0.2925 0.0000
10 Cd 0.2925 0.0000 0.7075
11 Cd 0.2925 0.7075 0.0000
12 Cd 0.7075 0.0000 0.2925
13 Cd 0.0000 0.2925 0.7075
14 Cd 0.1586 0.6472 0.6472
15 Cd 0.6472 0.6472 0.1586
16 Cd 0.6472 0.1586 0.6472
17 Cd 0.8414 0.3528 0.3528
18 Cd 0.3528 0.3528 0.8414
19 Cd 0.3528 0.8414 0.3528

Formation enthalpy at 0 K   -153 meV/atom

| no. | DOS at the Fermi energy (states/eV/f.u.) |
| --- | --- |
| 1 | 3.111 |
| 2 | 3.675 |
| 3 | 3.234 |
| 4 | 7.662 |